Tl2SnCl6 | SCAN | PBEsol geometry

Summary:
* V: 26.3 Å³ per atom
* formation energy (no corrections): -1.13 eV per atom
* VASP energy: -26.515 eV/atom
* SG: No. 225
* total moment: 0.0 μB/cell

Lattice parameters (Å, degrees): 6.947 6.947 6.947 60.00 60.00 60.00
Positions (direct):
Tl1 0.250 0.250 0.250
Tl2 0.750 0.750 0.750
Sn1 0.000 0.000 0.000
Cl1 0.248 0.752 0.248
Cl2 0.752 0.752 0.248
Cl3 0.248 0.248 0.752
Cl4 0.752 0.248 0.752
Cl5 0.248 0.752 0.752
Cl6 0.752 0.248 0.248